TlTeP2 | PBE-GGA | optimized geometry

**Volume**: 346.3 Å³/cell
**VASP energy**: -3.42 eV/atom
**Energy relative to the elements, uncorrected**: 0.657 eV/atom
**Excess energy over the best structure of this formula in the dataset**: 243.8 kJ/mol of formula units

abc: 7.0223 7.0223 7.0223
angles: 90.00 90.00 90.00
Space group Fm-3m (No. 225)
One atom of each set of equivalent atoms:
Tl1 0.0000 0.0000 0.0000 x4
Te1 0.0000 0.0000 0.5000 x4
P1 0.2500 0.2500 0.2500 x8